Material: NaInB3
Method: DFT, PBE
State: optimized geometry

The structure belongs to space group Pm-3m (No. 221); the cell edges are 4.6080, 4.6080 and 4.6080 Å and the angles 90.00°, 90.00° and 90.00°. The inequivalent atoms are Na at (0.0000, 0.0000, 0.0000), In at (0.5000, 0.5000, 0.5000) and B at (0.0000, 0.5000, 0.5000).

As for the formation energy: 2.00 eV per atom. The value obtained for the total magnetization is 0.0 μB/f.u. The density of states at the Fermi level is 2.7 states/eV/cell.